First-principles (PBE) data for a geometry-optimized RbAl2SnSe6 structure, as listed in the Alexandria database.

Results
M_tot = 0.0 μB per formula unit
Raw total energy = -0.1451 hartree per atom

Lattice parameters (Å, degrees): 14.242 13.119 8.331 90.00 122.72 90.00
Space group C2/c (No. 15)
Symmetry-distinct sites (fractional):
Rb 0.000 0.184 0.250 x4
Al 0.183 0.427 0.069 x8
Sn 0.000 0.162 0.750 x4
Se 0.113 0.466 0.294 x8
Se 0.126 0.046 0.683 x8
Se 0.144 0.249 0.064 x8

First-principles (PBE) data for a geometry-optimized NaCe2Re structure, as listed in the Alexandria database.

Results
M_tot = 1.1 μB per formula unit
Energy of formation from the pure elements = 0.136 eV/atom

Lattice parameters (Å, degrees): 3.343 3.343 9.849 90.00 90.00 90.00
Space group P4/mmm (No. 123)
Symmetry-distinct sites (fractional):
Na 0.000 0.000 0.000 x1
Ce 0.500 0.500 0.320 x2
Re 0.000 0.000 0.500 x1

First-principles (PBE) data for a geometry-optimized Sr2GdPt structure, as listed in the Alexandria database.

Results
M_tot = 8.0 μB per formula unit
Energy of formation from the pure elements = -0.133 eV/atom

Lattice parameters (Å, degrees): 4.0098 4.0098 33.7578 90.00 90.00 120.00
Space group R-3m (No. 166, hexagonal axes)
Symmetry-distinct sites (fractional):
Sr 0.0000 0.0000 0.1119 x6
Gd 0.0000 0.0000 0.0000 x3
Pt 0.0000 0.0000 0.5000 x3